No. 1
AgHgTeO after structural relaxation. Source: OQMD via LeMat-Bulk, functional GGA-PBE.

The structure in POSCAR format:
```
AgHgTeO
1.0
4.2115 0.0000 0.0000
0.0000 4.2115 0.0000
0.0000 0.0000 9.3618
Ag Te O Hg
2 2 2 2
Direct
0.7500 0.7500 0.2338 Ag
0.2500 0.2500 0.7662 Ag
0.7500 0.7500 0.6762 Te
0.2500 0.2500 0.3238 Te
0.2500 0.2500 0.5228 O
0.7500 0.7500 0.4772 O
0.7500 0.2500 0.0000 Hg
0.2500 0.7500 0.0000 Hg
```

Results
As for the energy above the lowest structure with this stoichiometry: 64 meV/atom. The total DFT energy (no corrections) comes out at -2.833 eV/atom.



No. 2
AgHgTeO after structural relaxation. Source: OQMD via LeMat-Bulk, functional GGA-PBE.

The structure in POSCAR format:
```
AgHgTeO
1.0
7.0498 0.0000 0.0000
0.0000 5.9840 0.0000
0.0000 0.0000 8.1874
Ag Te Hg O
4 4 4 4
Direct
0.2453 0.7364 0.5223 Ag
0.2547 0.2636 0.0223 Ag
0.7547 0.2364 0.9777 Ag
0.7453 0.7636 0.4777 Ag
0.4687 0.1837 0.7151 Te
0.9687 0.3163 0.2849 Te
0.5313 0.6837 0.7849 Te
0.0313 0.8163 0.2151 Te
0.4576 0.7183 0.1156 Hg
0.5424 0.2183 0.3844 Hg
0.9576 0.7817 0.8844 Hg
0.0424 0.2817 0.6156 Hg
0.0135 0.3762 0.8723 O
0.4865 0.6238 0.3723 O
0.9865 0.8762 0.6277 O
0.5135 0.1238 0.1277 O
```

Results
As for the energy above the lowest structure with this stoichiometry: 0 meV/atom. The total DFT energy (no corrections) comes out at -2.897 eV/atom.



No. 3
AgHgTeO after structural relaxation. Source: OQMD via LeMat-Bulk, functional GGA-PBE.

The structure in POSCAR format:
```
AgHgTeO
1.0
6.6217 1.7457 1.6923
-6.8134 -0.2895 1.8031
0.9120 -5.8842 2.5015
Te O Ag Hg
2 2 2 2
Direct
0.8664 0.1336 0.0445 Te
0.1336 0.8664 0.5445 Te
0.3945 0.6055 0.5410 O
0.6055 0.3945 0.0410 O
0.5012 0.4988 0.2921 Ag
0.4988 0.5012 0.7921 Ag
0.7967 0.2033 0.5150 Hg
0.2033 0.7967 0.0150 Hg
```

Results
As for the energy above the lowest structure with this stoichiometry: 37 meV/atom. The total DFT energy (no corrections) comes out at -2.859 eV/atom.



> Which of these has the lowest energy above the lowest structure with this stoichiometry?

number 2



Repeat the third record exactly.
AgHgTeO after structural relaxation. Source: OQMD via LeMat-Bulk, functional GGA-PBE.

The structure in POSCAR format:
```
AgHgTeO
1.0
6.6217 1.7457 1.6923
-6.8134 -0.2895 1.8031
0.9120 -5.8842 2.5015
Te O Ag Hg
2 2 2 2
Direct
0.8664 0.1336 0.0445 Te
0.1336 0.8664 0.5445 Te
0.3945 0.6055 0.5410 O
0.6055 0.3945 0.0410 O
0.5012 0.4988 0.2921 Ag
0.4988 0.5012 0.7921 Ag
0.7967 0.2033 0.5150 Hg
0.2033 0.7967 0.0150 Hg
```

Results
As for the energy above the lowest structure with this stoichiometry: 37 meV/atom. The total DFT energy (no corrections) comes out at -2.859 eV/atom.



> energy above the lowest structure with this stoichiometry of number 3 (AgHgTeO)?

37 meV/atom



> What is the formula in the third record?

AgHgTeO